Below is MgCo2Os after structural relaxation, with properties calculated at the PBE level.

- space group = Cmm2
- DFT total energy (eV/atom) = -6.42
- formation enthalpy at 0 K (eV/atom) = 0.334
- N(E_F) (states/eV/cell) = 5.255

Unit cell a=2.6285 b=2.6285 c=8.5202 alpha=90.00 beta=90.00 gamma=113.05
Closest atoms and distances in Å follow each position.
Fractional coordinates of all 4 atoms:
1 Mg 0.0000 0.0000 0.4908  2 Co 2.62, 6 Mg 2.63-2.90, 2 Os 2.74
2 Os 0.5000 0.5000 0.7641  2 Co 2.56, 4 Os 2.63, 2 Mg 2.74
3 Co 0.5000 0.5000 0.2340  6 Co 2.39-2.63, 2 Mg 2.62
4 Co 0.0000 0.0000 0.0111  6 Co 2.39-2.63, 2 Os 2.56